No. 1
Cs3HgI3: relaxed, PBE.

Structure (POSCAR):
```
Cs3HgI3
1.0
-2.4347 6.1511 8.3542
-10.3508 -2.0187 -1.5302
0.6994 -8.4644 6.4360
Cs Hg I
6 2 6
Direct
0.7500 0.5000 0.0000 Cs
0.2500 0.5000 0.0000 Cs
0.5000 0.0000 0.2500 Cs
0.0000 0.2500 0.5000 Cs
0.5000 0.0000 0.7500 Cs
0.0000 0.7500 0.5000 Cs
0.5000 0.5000 0.5000 Hg
0.0000 0.0000 0.0000 Hg
0.7500 0.0000 0.5000 I
0.2500 0.0000 0.5000 I
0.0000 0.5000 0.2500 I
0.5000 0.7500 0.0000 I
0.0000 0.5000 0.7500 I
0.5000 0.2500 0.0000 I
```

## Properties
space group: Pm-3n
energy relative to the elements, uncorrected: -1.2247 eV/atom
V: 86.435 Å³ per atom

No. 2
Cs2Hg2I7: relaxed, PBE.

Structure (POSCAR):
```
Cs2Hg2I7
1.0
7.3584 -0.0174 -0.0199
-0.5563 9.0393 0.5647
-0.5563 -0.6427 9.0341
Hg Cs I
2 2 7
Direct
0.5239 0.7628 0.7628 Hg
0.4761 0.2372 0.2372 Hg
0.0000 0.2380 0.7620 Cs
0.0000 0.7620 0.2380 Cs
0.5000 0.0000 0.0000 I
0.7258 0.9160 0.5516 I
0.2742 0.4484 0.0840 I
0.7258 0.5516 0.9160 I
0.2742 0.0840 0.4484 I
0.8427 0.3130 0.3130 I
0.1573 0.6870 0.6870 I
```

## Properties
space group: C2/m
energy relative to the elements, uncorrected: -0.6584 eV/atom
V: 54.852 Å³ per atom

No. 3
Cs3Hg2I8: relaxed, PBE.

Structure (POSCAR):
```
Cs3Hg2I8
1.0
8.3583 0.0000 0.0000
4.1791 7.2385 0.0000
4.1791 2.4128 11.2512
I Hg Cs
8 2 3
Direct
0.2576 0.7969 0.6879 I
0.7969 0.2576 0.6879 I
0.6792 0.6792 0.9624 I
0.2576 0.2576 0.6879 I
0.7424 0.7424 0.3121 I
0.7424 0.2031 0.3121 I
0.3208 0.3208 0.0376 I
0.2031 0.7424 0.3121 I
0.4030 0.4030 0.7911 Hg
0.5970 0.5970 0.2089 Hg
0.2077 0.2077 0.3768 Cs
0.0000 0.0000 0.0000 Cs
0.7923 0.7923 0.6232 Cs
```

## Properties
space group: R-3m
energy relative to the elements, uncorrected: -0.8139 eV/atom
V: 52.363 Å³ per atom

No. 4
CsHg2I2: relaxed, PBE.

Structure (POSCAR):
```
CsHg2I2
1.0
-2.1450 4.9980 -3.2070
-5.1709 0.1046 3.6217
-1.1790 5.8257 3.6522
I Hg Cs
2 2 1
Direct
0.2500 0.7500 0.5000 I
0.7500 0.2500 0.5000 I
0.6332 0.6332 0.7337 Hg
0.3668 0.3668 0.2663 Hg
0.0000 0.0000 0.0000 Cs
```

## Properties
space group: I4/mmm
energy relative to the elements, uncorrected: -0.6199 eV/atom
V: 42.739 Å³ per atom